First-principles (GGA-PBE) data for a geometry-optimized SbAsIO2 structure, as listed in Alexandria via LeMat-Bulk.

Summary:
ΔE_f (raw) = 0.19 eV/atom
ρ = 6.00 g/cm3
M_tot = 0.042 μB/atom
DOS at the Fermi energy = 3.41 states/eV/f.u.
offset from the most stable computed form = 336 meV/atom

The structure in POSCAR format:
```
SbAsIO2
1.0
4.220 0.000 0.000
0.000 4.220 0.000
0.000 0.000 5.530
Sb I O As
1 1 2 1
direct
0.500 0.500 0.500
0.000 0.000 0.500
0.000 0.500 0.000
0.500 0.000 0.000
0.000 0.000 0.000
```